#P
SrZrBr2 at its PBEsol-relaxed geometry. Source: Alexandria, functional SCAN.

Structure (CIF):
```
data_SrZrBr2
_chemical_formula_sum 'Sr2 Zr2 Br4'
_cell_length_a 3.443
_cell_length_b 6.536
_cell_length_c 9.536
_cell_angle_alpha 90.00
_cell_angle_beta 90.00
_cell_angle_gamma 90.00
_symmetry_space_group_name_H-M 'C m m m'
_symmetry_Int_Tables_number 65
_symmetry_space_group_name_Hall '-C 2 2'
loop_
_atom_site_label
_atom_site_fract_x
_atom_site_fract_y
_atom_site_fract_z
_atom_site_occupancy
Sr1 0.000 0.000 0.000 1
Zr1 0.000 0.000 0.500 1
Br1 0.000 0.500 0.272 1
```

Its density of states at the Fermi level is 0.7375 states/eV/atom. The mass density is 5.24 g/cm³.

=====

#Q
SrZrBr2 at its PBEsol-relaxed geometry. Source: Alexandria, functional SCAN.

Structure (CIF):
```
data_SrZrBr2
_chemical_formula_sum 'Sr2 Zr2 Br4'
_cell_length_a 3.794
_cell_length_b 3.809
_cell_length_c 13.472
_cell_angle_alpha 90.00
_cell_angle_beta 90.00
_cell_angle_gamma 90.00
_symmetry_space_group_name_H-M 'I m m 2'
_symmetry_Int_Tables_number 44
_symmetry_space_group_name_Hall 'I 2 -2'
loop_
_atom_site_label
_atom_site_fract_x
_atom_site_fract_y
_atom_site_fract_z
_atom_site_occupancy
Sr1 0.000 0.000 0.000 1
Zr1 0.000 0.500 0.249 1
Br1 0.000 0.000 0.400 1
Br2 0.000 0.500 0.675 1
```

Its density of states at the Fermi level is 0.2813 states/eV/atom. The mass density is 5.78 g/cm³.

=====

Bottom line: #Q, by a margin of 0.065 eV/atom.